P.
Computed, not measured: an optimized crystal structure of Sr2Si2Hg at the PBE-GGA level of DFT.

Output
Spin magnetization (Bohr magnetons per cell): 0.0
V (Å³ per atom): 32.4

a = 5.945 Å, b = 5.945 Å, c = 9.159 Å
α = 90.00°, β = 90.00°, γ = 90.00°
Space group I4/mmm (No. 139)
Unique sites:
Sr: 0.000 0.500 0.250 x4
Si: 0.000 0.000 0.124 x4
Hg: 0.000 0.000 0.500 x2

Q.
Computed, not measured: an optimized crystal structure of Sr2Si2Hg at the PBE-GGA level of DFT.

Output
Spin magnetization (Bohr magnetons per cell): 0.0
V (Å³ per atom): 26.9

a = 3.699 Å, b = 3.699 Å, c = 19.683 Å
α = 90.00°, β = 90.00°, γ = 90.00°
Space group I4/mmm (No. 139)
Unique sites:
Sr: 0.000 0.000 0.113 x4
Si: 0.000 0.500 0.250 x4
Hg: 0.000 0.000 0.500 x2

Top of the stability list: Q, leading by 68 meV/atom.

P.
Computed, not measured: an optimized crystal structure of Sr2Si2Hg at the PBE-GGA level of DFT.

Output
Spin magnetization (Bohr magnetons per cell): 0.0
V (Å³ per atom): 28.2

a = 8.062 Å, b = 8.062 Å, c = 4.342 Å
α = 90.00°, β = 90.00°, γ = 90.00°
Space group P4/mbm (No. 127)
Unique sites:
Sr: 0.189 0.311 0.000 x4
Si: 0.100 0.600 0.500 x4
Hg: 0.000 0.000 0.500 x2

Q.
Computed, not measured: an optimized crystal structure of Sr2Si2Hg at the PBE-GGA level of DFT.

Output
Spin magnetization (Bohr magnetons per cell): 0.0
V (Å³ per atom): 27.8

a = 3.915 Å, b = 4.385 Å, c = 8.317 Å
α = 90.00°, β = 103.53°, γ = 90.00°
Space group P2/m (No. 10)
Unique sites:
Sr: 0.130 0.000 0.258 x2
Si: 0.291 0.500 0.583 x2
Hg: 0.500 0.500 0.000 x1

Top of the stability list: Q, leading by 80 meV/atom.

P.
Computed, not measured: an optimized crystal structure of SrSi3Hg at the PBE-GGA level of DFT.

Output
Spin magnetization (Bohr magnetons per cell): 0.0
V (Å³ per atom): 27.7

a = 5.173 Å, b = 5.173 Å, c = 5.173 Å
α = 90.00°, β = 90.00°, γ = 90.00°
Space group Pm-3m (No. 221)
Unique sites:
Sr: 0.000 0.000 0.000 x1
Si: 0.000 0.500 0.500 x3
Hg: 0.500 0.500 0.500 x1

Q.
Computed, not measured: an optimized crystal structure of SrSi3Hg at the PBE-GGA level of DFT.

Output
Spin magnetization (Bohr magnetons per cell): 1.0
V (Å³ per atom): 36.9

a = 5.692 Å, b = 5.692 Å, c = 5.692 Å
α = 90.00°, β = 90.00°, γ = 90.00°
Space group Pm-3m (No. 221)
Unique sites:
Sr: 0.000 0.000 0.000 x1
Si: 0.000 0.000 0.500 x3
Hg: 0.500 0.500 0.500 x1

Top of the stability list: P, leading by 896 meV/atom.

P.
Computed, not measured: an optimized crystal structure of TaSiHg3 at the PBE-GGA level of DFT.

Output
Spin magnetization (Bohr magnetons per cell): 2.7
V (Å³ per atom): 25.0

a = 4.998 Å, b = 4.998 Å, c = 4.998 Å
α = 90.00°, β = 90.00°, γ = 90.00°
Space group Pm-3m (No. 221)
Unique sites:
Ta: 0.000 0.000 0.000 x1
Si: 0.500 0.500 0.500 x1
Hg: 0.000 0.500 0.500 x3

Q.
Computed, not measured: an optimized crystal structure of TaSiHg3 at the PBE-GGA level of DFT.

Output
Spin magnetization (Bohr magnetons per cell): 0.0
V (Å³ per atom): 30.6

a = 5.350 Å, b = 5.350 Å, c = 5.350 Å
α = 90.00°, β = 90.00°, γ = 90.00°
Space group Pm-3m (No. 221)
Unique sites:
Ta: 0.000 0.000 0.000 x1
Si: 0.500 0.500 0.500 x1
Hg: 0.000 0.000 0.500 x3

Top of the stability list: Q, leading by 9 meV/atom.

P.
Computed, not measured: an optimized crystal structure of TaSiHg at the PBE-GGA level of DFT.

Output
Spin magnetization (Bohr magnetons per cell): 0.0
V (Å³ per atom): 18.7

a = 3.611 Å, b = 4.590 Å, c = 13.516 Å
α = 90.00°, β = 90.00°, γ = 90.00°
Space group Fmm2 (No. 42)
Unique sites:
Ta: 0.000 0.000 0.000 x4
Si: 0.000 0.000 0.360 x4
Hg: 0.000 0.000 0.674 x4

Q.
Computed, not measured: an optimized crystal structure of TaSiHg at the PBE-GGA level of DFT.

Output
Spin magnetization (Bohr magnetons per cell): 0.0
V (Å³ per atom): 18.3

a = 3.0191 Å, b = 3.0191 Å, c = 6.9519 Å
α = 90.00°, β = 90.00°, γ = 120.00°
Space group P3m1 (No. 156)
Unique sites:
Ta: 0.0000 0.0000 0.0000 x1
Si: 0.3333 0.6667 0.7006 x1
Hg: 0.6667 0.3333 0.3569 x1

R.
Computed, not measured: an optimized crystal structure of TaSiHg at the PBE-GGA level of DFT.

Output
Spin magnetization (Bohr magnetons per cell): 0.0
V (Å³ per atom): 18.5

a = 2.918 Å, b = 2.918 Å, c = 13.041 Å
α = 90.00°, β = 90.00°, γ = 90.00°
Space group I4mm (No. 107)
Unique sites:
Ta: 0.000 0.000 0.000 x2
Si: 0.000 0.000 0.361 x2
Hg: 0.000 0.000 0.676 x2

Top of the stability list: Q, leading by 42 meV/atom.

P.
Computed, not measured: an optimized crystal structure of TaSiHg at the PBE-GGA level of DFT.

Output
Spin magnetization (Bohr magnetons per cell): 0.0
V (Å³ per atom): 18.3

a = 2.971 Å, b = 3.556 Å, c = 10.410 Å
α = 90.00°, β = 90.00°, γ = 90.00°
Space group Imm2 (No. 44)
Unique sites:
Ta: 0.000 0.000 0.000 x2
Si: 0.000 0.000 0.381 x2
Hg: 0.000 0.000 0.696 x2

Q.
Computed, not measured: an optimized crystal structure of TaSiHg at the PBE-GGA level of DFT.

Output
Spin magnetization (Bohr magnetons per cell): 0.0
V (Å³ per atom): 17.5

a = 4.6697 Å, b = 4.6697 Å, c = 2.7873 Å
α = 90.00°, β = 90.00°, γ = 120.00°
Space group P-6m2 (No. 187)
Unique sites:
Ta: 0.0000 0.0000 0.0000 x1
Si: 0.3333 0.6667 0.5000 x1
Hg: 0.6667 0.3333 0.5000 x1

Top of the stability list: P, leading by 197 meV/atom.

P.
Computed, not measured: an optimized crystal structure of SiTc3Hg at the PBE-GGA level of DFT.

Output
Spin magnetization (Bohr magnetons per cell): 9.8
V (Å³ per atom): 26.2

a = 5.078 Å, b = 5.078 Å, c = 5.078 Å
α = 90.00°, β = 90.00°, γ = 90.00°
Space group Pm-3m (No. 221)
Unique sites:
Si: 0.000 0.000 0.000 x1
Tc: 0.000 0.500 0.500 x3
Hg: 0.500 0.500 0.500 x1

Q.
Computed, not measured: an optimized crystal structure of SiTc3Hg at the PBE-GGA level of DFT.

Output
Spin magnetization (Bohr magnetons per cell): 0.0
V (Å³ per atom): 17.6

a = 4.448 Å, b = 4.448 Å, c = 4.448 Å
α = 90.00°, β = 90.00°, γ = 90.00°
Space group Pm-3m (No. 221)
Unique sites:
Si: 0.000 0.000 0.000 x1
Tc: 0.000 0.000 0.500 x3
Hg: 0.500 0.500 0.500 x1

Top of the stability list: Q, leading by 1762 meV/atom.

P.
Computed, not measured: an optimized crystal structure of SiTcHg at the PBE-GGA level of DFT.

Output
Spin magnetization (Bohr magnetons per cell): 0.0
V (Å³ per atom): 17.8

a = 3.173 Å, b = 4.865 Å, c = 13.804 Å
α = 90.00°, β = 90.00°, γ = 90.00°
Space group Fmm2 (No. 42)
Unique sites:
Si: 0.000 0.000 0.000 x4
Tc: 0.000 0.000 0.374 x4
Hg: 0.000 0.000 0.694 x4

Q.
Computed, not measured: an optimized crystal structure of SiTcHg at the PBE-GGA level of DFT.

Output
Spin magnetization (Bohr magnetons per cell): 0.3
V (Å³ per atom): 17.3

a = 3.0308 Å, b = 3.0308 Å, c = 6.5136 Å
α = 90.00°, β = 90.00°, γ = 120.00°
Space group P3m1 (No. 156)
Unique sites:
Si: 0.0000 0.0000 0.0000 x1
Tc: 0.6667 0.3333 0.2560 x1
Hg: 0.3333 0.6667 0.6247 x1

R.
Computed, not measured: an optimized crystal structure of SiTcHg at the PBE-GGA level of DFT.

Output
Spin magnetization (Bohr magnetons per cell): 0.0
V (Å³ per atom): 19.0

a = 6.104 Å, b = 6.104 Å, c = 6.104 Å
α = 90.00°, β = 90.00°, γ = 90.00°
Space group F-43m (No. 216)
Unique sites:
Si: 0.000 0.000 0.000 x4
Tc: 0.250 0.250 0.250 x4
Hg: 0.000 0.000 0.500 x4

Top of the stability list: Q, leading by 137 meV/atom.

P.
Computed, not measured: an optimized crystal structure of SiTcHg at the PBE-GGA level of DFT.

Output
Spin magnetization (Bohr magnetons per cell): 0.0
V (Å³ per atom): 17.3

a = 4.1131 Å, b = 4.1131 Å, c = 3.5505 Å
α = 90.00°, β = 90.00°, γ = 120.00°
Space group P-6m2 (No. 187)
Unique sites:
Si: 0.0000 0.0000 0.0000 x1
Tc: 0.3333 0.6667 0.0000 x1
Hg: 0.6667 0.3333 0.5000 x1

Q.
Computed, not measured: an optimized crystal structure of SiTcHg at the PBE-GGA level of DFT.

Output
Spin magnetization (Bohr magnetons per cell): 0.0
V (Å³ per atom): 17.2

a = 3.208 Å, b = 3.208 Å, c = 10.031 Å
α = 90.00°, β = 90.00°, γ = 90.00°
Space group I4mm (No. 107)
Unique sites:
Si: 0.000 0.000 0.000 x2
Tc: 0.000 0.000 0.583 x2
Hg: 0.000 0.000 0.286 x2

Top of the stability list: Q, leading by 97 meV/atom.

P.
Computed, not measured: an optimized crystal structure of Si2HgTe at the PBE-GGA level of DFT.

Output
Spin magnetization (Bohr magnetons per cell): 0.0
V (Å³ per atom): 22.9

a = 2.957 Å, b = 3.869 Å, c = 8.026 Å
α = 90.00°, β = 93.69°, γ = 90.00°
Space group P2/m (No. 10)
Unique sites:
Si: 0.032 0.000 0.259 x2
Hg: 0.000 0.500 0.500 x1
Te: 0.000 0.500 0.000 x1

Q.
Computed, not measured: an optimized crystal structure of Si2HgTe at the PBE-GGA level of DFT.

Output
Spin magnetization (Bohr magnetons per cell): 0.0
V (Å³ per atom): 25.3

a = 3.736 Å, b = 3.736 Å, c = 7.241 Å
α = 90.00°, β = 90.00°, γ = 90.00°
Space group P4/mmm (No. 123)
Unique sites:
Si: 0.000 0.000 0.177 x2
Hg: 0.500 0.500 0.500 x1
Te: 0.500 0.500 0.000 x1

R.
Computed, not measured: an optimized crystal structure of Si2HgTe at the PBE-GGA level of DFT.

Output
Spin magnetization (Bohr magnetons per cell): 0.0
V (Å³ per atom): 22.7

a = 3.942 Å, b = 4.135 Å, c = 5.569 Å
α = 90.00°, β = 90.00°, γ = 90.00°
Space group Pmmm (No. 47)
Unique sites:
Si: 0.000 0.000 0.000 x1
Si: 0.000 0.500 0.500 x1
Hg: 0.500 0.000 0.500 x1
Te: 0.500 0.500 0.000 x1

Top of the stability list: P, leading by 124 meV/atom.

P.
Computed, not measured: an optimized crystal structure of Si2HgTe at the PBE-GGA level of DFT.

Output
Spin magnetization (Bohr magnetons per cell): 0.0
V (Å³ per atom): 27.7

a = 4.422 Å, b = 4.000 Å, c = 6.271 Å
α = 90.00°, β = 90.01°, γ = 90.00°
Space group Pm (No. 6)
Unique sites:
Si: 0.000 0.000 0.000 x1
Si: 0.001 0.500 0.208 x1
Hg: 0.501 0.500 0.398 x1
Te: 0.500 0.000 0.759 x1

Q.
Computed, not measured: an optimized crystal structure of Si2HgTe at the PBE-GGA level of DFT.

Output
Spin magnetization (Bohr magnetons per cell): 0.0
V (Å³ per atom): 22.9

a = 3.600 Å, b = 4.051 Å, c = 12.581 Å
α = 90.00°, β = 90.00°, γ = 90.00°
Space group Imm2 (No. 44)
Unique sites:
Si: 0.000 0.000 0.000 x2
Si: 0.000 0.500 0.363 x2
Hg: 0.000 0.000 0.571 x2
Te: 0.000 0.500 0.779 x2

Top of the stability list: P, leading by 246 meV/atom.

P.
Computed, not measured: an optimized crystal structure of Si2HgTe at the PBE-GGA level of DFT.

Output
Spin magnetization (Bohr magnetons per cell): 0.0
V (Å³ per atom): 22.8

a = 3.821 Å, b = 5.744 Å, c = 8.297 Å
α = 90.00°, β = 90.00°, γ = 90.00°
Space group Immm (No. 71)
Unique sites:
Si: 0.000 0.000 0.248 x4
Hg: 0.000 0.500 0.500 x2
Te: 0.000 0.500 0.000 x2

Q.
Computed, not measured: an optimized crystal structure of Si2HgTe at the PBE-GGA level of DFT.

Output
Spin magnetization (Bohr magnetons per cell): 0.0
V (Å³ per atom): 23.0

a = 7.943 Å, b = 7.889 Å, c = 2.936 Å
α = 90.00°, β = 91.47°, γ = 90.00°
Space group C2/m (No. 12)
Unique sites:
Si: 0.250 0.250 0.000 x4
Hg: 0.000 0.000 0.000 x2
Te: 0.000 0.500 0.000 x2

Top of the stability list: Q, leading by 156 meV/atom.